1.
Here is a relaxed structure of ScTlHg from Alexandria. Energies are from PBE-GGA.

Calculated values
Energy of formation: -0.174 eV/atom
Polymorph energy (0 for the lowest one): 0.11 eV per formula unit
Density: 10.61 g/cm³

Geometry as CIF:
```
data_ScTlHg
_space_group_name_H-M_alt 'P n m a'
_space_group_IT_number 62
_cell_length_a 13.8944
_cell_length_b 4.5014
_cell_length_c 4.5043
_cell_angle_alpha 90.00
_cell_angle_beta 90.00
_cell_angle_gamma 90.00
loop_
_space_group_symop_operation_xyz
'x,y,z'
'-x,-y,-z'
'-x+1/2,-y,z+1/2'
'x+1/2,y,-z+1/2'
'x+1/2,-y+1/2,-z+1/2'
'-x+1/2,y+1/2,z+1/2'
'-x,y+1/2,-z'
'x,-y+1/2,z'
loop_
_atom_site_label
_atom_site_type_symbol
_atom_site_fract_x
_atom_site_fract_y
_atom_site_fract_z
_atom_site_occupancy
Sc1 Sc 0.0948 0.2500 0.0005 1
Tl1 Tl 0.0793 0.7500 0.5005 1
Hg1 Hg 0.2463 0.2500 0.5009 1
```



2.
Here is a relaxed structure of ScTlHg from Alexandria. Energies are from PBE-GGA.

Calculated values
Energy of formation: -0.189 eV/atom
Polymorph energy (0 for the lowest one): 0.06 eV per formula unit
Density: 10.56 g/cm³

Geometry as CIF:
```
data_ScTlHg
_space_group_name_H-M_alt 'P 1'
_space_group_IT_number 1
_cell_length_a 4.6055
_cell_length_b 5.5213
_cell_length_c 6.3289
_cell_angle_alpha 103.58
_cell_angle_beta 90.14
_cell_angle_gamma 114.47
loop_
_space_group_symop_operation_xyz
'x,y,z'
loop_
_atom_site_label
_atom_site_type_symbol
_atom_site_fract_x
_atom_site_fract_y
_atom_site_fract_z
_atom_site_occupancy
Sc1 Sc 0.0000 0.0000 0.0000 1
Sc2 Sc 0.3167 0.6350 0.6236 1
Tl1 Tl 0.3253 0.6516 0.1192 1
Tl2 Tl 0.6557 0.3120 0.3237 1
Hg1 Hg 0.6547 0.3106 0.8170 1
Hg2 Hg 0.9880 0.9776 0.5163 1
```



3.
Here is a relaxed structure of Sc3Tl2Hg from Alexandria. Energies are from PBE-GGA.

Calculated values
Energy of formation: -0.317 eV/atom
Density: 9.02 g/cm³

Geometry as CIF:
```
data_Sc3Tl2Hg
_space_group_name_H-M_alt 'P -3 m 1'
_space_group_IT_number 164
_space_group_name_Hall '-P 3 2"'
_cell_length_a 5.0566
_cell_length_b 5.0566
_cell_length_c 12.3788
_cell_angle_alpha 90.00
_cell_angle_beta 90.00
_cell_angle_gamma 120.00
loop_
_atom_site_label
_atom_site_type_symbol
_atom_site_fract_x
_atom_site_fract_y
_atom_site_fract_z
_atom_site_occupancy
Sc1 Sc 0.0000 0.0000 0.2473 1
Sc2 Sc 0.3333 0.6667 0.4148 1
Sc3 Sc 0.3333 0.6667 0.9179 1
Tl1 Tl 0.0000 0.0000 0.0000 1
Tl2 Tl 0.0000 0.0000 0.5000 1
Tl3 Tl 0.3333 0.6667 0.6707 1
Hg1 Hg 0.3333 0.6667 0.1665 1
```



4.
Here is a relaxed structure of ScTlHg from Alexandria. Energies are from PBE-GGA.

Calculated values
Energy of formation: 0.744 eV/atom
Polymorph energy (0 for the lowest one): 2.86 eV per formula unit
Density: 6.37 g/cm³

Geometry as CIF:
```
data_ScTlHg
_space_group_name_H-M_alt 'P 63/m m c'
_space_group_IT_number 194
_space_group_name_Hall '-P 6c 2c'
_cell_length_a 4.8894
_cell_length_b 4.8894
_cell_length_c 11.3373
_cell_angle_alpha 90.00
_cell_angle_beta 90.00
_cell_angle_gamma 120.00
loop_
_atom_site_label
_atom_site_type_symbol
_atom_site_fract_x
_atom_site_fract_y
_atom_site_fract_z
_atom_site_occupancy
Sc1 Sc 0.0000 0.0000 0.0000 1
Tl1 Tl 0.0000 0.0000 0.2500 1
Hg1 Hg 0.3333 0.6667 0.2500 1
```



5.
Here is a relaxed structure of Sc2TlHg from Alexandria. Energies are from PBE-GGA.

Calculated values
Energy of formation: -0.345 eV/atom
Density: 9.09 g/cm³

Geometry as CIF:
```
data_Sc2TlHg
_space_group_name_H-M_alt 'P m m 2'
_space_group_IT_number 25
_cell_length_a 3.5298
_cell_length_b 5.0597
_cell_length_c 5.0591
_cell_angle_alpha 90.00
_cell_angle_beta 90.00
_cell_angle_gamma 90.00
loop_
_space_group_symop_operation_xyz
'x,y,z'
'-x,-y,z'
'-x,y,z'
'x,-y,z'
loop_
_atom_site_label
_atom_site_type_symbol
_atom_site_fract_x
_atom_site_fract_y
_atom_site_fract_z
_atom_site_occupancy
Sc1 Sc 0.0000 0.0000 0.0000 1
Sc2 Sc 0.0000 0.5000 0.4986 1
Tl1 Tl 0.5000 0.0000 0.5000 1
Hg1 Hg 0.5000 0.5000 0.9984 1
```



6.
Here is a relaxed structure of ScTl2Hg2 from Alexandria. Energies are from PBE-GGA.

Calculated values
Energy of formation: 0.034 eV/atom
Polymorph energy (0 for the lowest one): 0.00 eV per formula unit
Density: 10.66 g/cm³

Geometry as CIF:
```
data_ScTl2Hg2
_space_group_name_H-M_alt 'P 4/m b m'
_space_group_IT_number 127
_space_group_name_Hall '-P 4 2ab'
_cell_length_a 7.9144
_cell_length_b 7.9144
_cell_length_c 4.2502
_cell_angle_alpha 90.00
_cell_angle_beta 90.00
_cell_angle_gamma 90.00
loop_
_atom_site_label
_atom_site_type_symbol
_atom_site_fract_x
_atom_site_fract_y
_atom_site_fract_z
_atom_site_occupancy
Sc1 Sc 0.0000 0.0000 0.0000 1
Tl1 Tl 0.1709 0.3291 0.5000 1
Hg1 Hg 0.1356 0.6356 0.0000 1
```



7.
Here is a relaxed structure of Sc2TlHg from Alexandria. Energies are from PBE-GGA.

Calculated values
Energy of formation: -0.348 eV/atom
Density: 9.08 g/cm³

Geometry as CIF:
```
data_Sc2TlHg
_space_group_name_H-M_alt 'P m m m'
_space_group_IT_number 47
_cell_length_a 3.5275
_cell_length_b 3.6105
_cell_length_c 7.1088
_cell_angle_alpha 90.00
_cell_angle_beta 90.00
_cell_angle_gamma 90.00
loop_
_space_group_symop_operation_xyz
'x,y,z'
'-x,-y,-z'
'-x,-y,z'
'x,y,-z'
'x,-y,-z'
'-x,y,z'
'-x,y,-z'
'x,-y,z'
loop_
_atom_site_label
_atom_site_type_symbol
_atom_site_fract_x
_atom_site_fract_y
_atom_site_fract_z
_atom_site_occupancy
Sc1 Sc 0.0000 0.0000 0.2411 1
Tl1 Tl 0.5000 0.5000 0.5000 1
Hg1 Hg 0.5000 0.5000 0.0000 1
```



8.
Here is a relaxed structure of Sc3TlHg from Alexandria. Energies are from PBE-GGA.

Calculated values
Energy of formation: -0.237 eV/atom
Polymorph energy (0 for the lowest one): 0.21 eV per formula unit
Density: 7.64 g/cm³

Geometry as CIF:
```
data_Sc3TlHg
_space_group_name_H-M_alt 'P m -3 m'
_space_group_IT_number 221
_space_group_name_Hall '-P 4 2 3'
_cell_length_a 7.0619
_cell_length_b 7.0619
_cell_length_c 7.0619
_cell_angle_alpha 90.00
_cell_angle_beta 90.00
_cell_angle_gamma 90.00
loop_
_atom_site_label
_atom_site_type_symbol
_atom_site_fract_x
_atom_site_fract_y
_atom_site_fract_z
_atom_site_occupancy
Sc1 Sc 0.0000 0.0000 0.0000 1
Sc2 Sc 0.2634 0.2634 0.2634 1
Tl1 Tl 0.0000 0.0000 0.5000 1
Hg1 Hg 0.0000 0.5000 0.5000 1
```